No. 1
VASP calculation (PBE) on a relaxed structure of TmSc2Cd.

Values from the calculation:
space-group type	No. 123

Cell lengths 3.377, 3.377, 8.703 Å; angles 90.00, 90.00, 90.00 degrees
Fractional coordinates of all 4 atoms:
Tm1 0.000 0.000 0.000
Sc1 0.500 0.500 0.272
Sc2 0.500 0.500 0.728
Cd1 0.000 0.000 0.500

=====

No. 2
VASP calculation (PBE) on a relaxed structure of VGeRh2.

Values from the calculation:
space-group type	No. 122

Cell lengths 6.683, 6.683, 6.683 Å; angles 132.00, 132.00, 70.23 degrees
Fractional coordinates of all 8 atoms:
V1 0.000 0.000 0.000
V2 0.750 0.250 0.500
Ge1 0.250 0.750 0.500
Ge2 0.500 0.500 0.000
Rh1 0.116 0.625 0.991
Rh2 0.375 0.366 0.491
Rh3 0.634 0.125 0.009
Rh4 0.875 0.884 0.509

=====

Energy of formation from the pure elements, respectively: -0.12; 0.29 eV per atom.
Total magnetization, respectively: 0.00; 0.00 μB/cell.